Run i
Below is a geometry-optimized RbHfIr structure, with properties calculated at the PBE-GGA level.

Cell lengths 6.7682, 6.7682, 6.7682 Å; angles 90.00, 90.00, 90.00 degrees
Closest atoms and distances in Å follow each position.
Positions (direct):
Rb1 0.0000 0.0000 0.0000  4 Ir 2.93
Rb2 0.0000 0.5000 0.5000  4 Ir 2.93
Rb3 0.5000 0.0000 0.5000  4 Ir 2.93
Rb4 0.5000 0.5000 0.0000  4 Ir 2.93
Hf1 0.0000 0.0000 0.5000  4 Ir 2.93
Hf2 0.0000 0.5000 0.0000  4 Ir 2.93
Hf3 0.5000 0.0000 0.0000  4 Ir 2.93
Hf4 0.5000 0.5000 0.5000  4 Ir 2.93
Ir1 0.2500 0.2500 0.7500  4 Hf 2.93, 4 Rb 2.93
Ir2 0.2500 0.7500 0.2500  4 Hf 2.93, 4 Rb 2.93
Ir3 0.7500 0.2500 0.2500  4 Hf 2.93, 4 Rb 2.93
Ir4 0.7500 0.7500 0.7500  4 Rb 2.93, 4 Hf 2.93

## Properties
Total moment = 0.00 μB/atom



Run ii
Below is a geometry-optimized RbHfIr structure, with properties calculated at the PBE-GGA level.

Cell lengths 5.3712, 5.3712, 9.4486 Å; angles 90.00, 90.00, 120.00 degrees
Closest atoms and distances in Å follow each position.
Positions (direct):
Rb1 0.0000 0.0000 0.0000  4 Ir 3.04-3.10, 3 Hf 3.21
Rb2 0.3333 0.6667 0.6667  4 Ir 3.04-3.10, 3 Hf 3.21
Rb3 0.6667 0.3333 0.3333  4 Ir 3.04-3.10, 3 Hf 3.21
Hf1 0.0000 0.0000 0.5774  1 Ir 2.41
Hf2 0.3333 0.6667 0.2440  1 Ir 2.41
Hf3 0.6667 0.3333 0.9107  1 Ir 2.41
Ir1 0.0000 0.0000 0.3220  1 Hf 2.41
Ir2 0.3333 0.6667 0.9886  1 Hf 2.41
Ir3 0.6667 0.3333 0.6553  1 Hf 2.41

## Properties
Total moment = 0.00 μB/atom



Quick ranking, most stable first: run ii, run i.



Run i
Below is a geometry-optimized Hf2ReIr structure, with properties calculated at the PBE-GGA level.

Cell lengths 3.2842, 3.2842, 6.4823 Å; angles 90.00, 90.00, 90.00 degrees
Closest atoms and distances in Å follow each position.
Positions (direct):
Hf1 0.0000 0.0000 0.2457  4 Re 2.82, 4 Ir 2.85
Hf2 0.0000 0.0000 0.7543  4 Re 2.82, 4 Ir 2.85
Re1 0.5000 0.5000 0.0000  8 Hf 2.82
Ir1 0.5000 0.5000 0.5000  8 Hf 2.85

## Properties
Total moment = 0.00 μB/atom



Run ii
Below is a geometry-optimized Hf2ReIr structure, with properties calculated at the PBE-GGA level.

Cell lengths 5.1511, 8.2671, 6.7000 Å; angles 90.00, 90.00, 90.00 degrees
Closest atoms and distances in Å follow each position.
Positions (direct):
Hf1 0.2502 0.0570 0.0935  2 Ir 2.61-2.85
Hf2 0.2502 0.4430 0.0935  2 Ir 2.61-2.85
Hf3 0.2498 0.5570 0.5935  2 Ir 2.61-2.85
Hf4 0.2498 0.9430 0.5935  2 Ir 2.61-2.85
Hf5 0.7502 0.0570 0.4065  2 Ir 2.61-2.85
Hf6 0.7502 0.4430 0.4065  2 Ir 2.61-2.85
Hf7 0.7498 0.5570 0.9065  2 Ir 2.61-2.85
Hf8 0.7498 0.9430 0.9065  2 Ir 2.61-2.85
Re1 0.0012 0.2500 0.7493  2 Re 2.58, 2 Ir 2.67
Re2 0.4988 0.7500 0.2493  2 Re 2.58, 2 Ir 2.67
Re3 0.5012 0.2500 0.7507  2 Re 2.58, 2 Ir 2.67
Re4 0.9988 0.7500 0.2507  2 Re 2.58, 2 Ir 2.67
Ir1 0.2477 0.7500 0.9013  4 Hf 2.61-2.85, 2 Re 2.67
Ir2 0.2523 0.2500 0.4013  4 Hf 2.61-2.85, 2 Re 2.67
Ir3 0.7477 0.7500 0.5987  4 Hf 2.61-2.85, 2 Re 2.67
Ir4 0.7523 0.2500 0.0987  4 Hf 2.61-2.85, 2 Re 2.67

## Properties
Total moment = 0.00 μB/atom



Quick ranking, most stable first: run i, run ii.



Run i
Below is a geometry-optimized Hf2ReIr structure, with properties calculated at the PBE-GGA level.

Cell lengths 6.5312, 6.5312, 6.5312 Å; angles 90.00, 90.00, 90.00 degrees
Closest atoms and distances in Å follow each position.
Positions (direct):
Hf1 0.2500 0.2500 0.2500  4 Re 2.83, 4 Ir 2.83
Hf2 0.2500 0.2500 0.7500  4 Ir 2.83, 4 Re 2.83
Hf3 0.2500 0.7500 0.2500  4 Ir 2.83, 4 Re 2.83
Hf4 0.2500 0.7500 0.7500  4 Re 2.83, 4 Ir 2.83
Hf5 0.7500 0.2500 0.2500  4 Ir 2.83, 4 Re 2.83
Hf6 0.7500 0.2500 0.7500  4 Re 2.83, 4 Ir 2.83
Hf7 0.7500 0.7500 0.2500  4 Re 2.83, 4 Ir 2.83
Hf8 0.7500 0.7500 0.7500  4 Ir 2.83, 4 Re 2.83
Re1 0.0000 0.0000 0.0000  8 Hf 2.83
Re2 0.0000 0.5000 0.5000  8 Hf 2.83
Re3 0.5000 0.0000 0.5000  8 Hf 2.83
Re4 0.5000 0.5000 0.0000  8 Hf 2.83
Ir1 0.0000 0.0000 0.5000  8 Hf 2.83
Ir2 0.0000 0.5000 0.0000  8 Hf 2.83
Ir3 0.5000 0.0000 0.0000  8 Hf 2.83
Ir4 0.5000 0.5000 0.5000  8 Hf 2.83

## Properties
Total moment = 0.00 μB/atom



Run ii
Below is a geometry-optimized Hf2ReIr structure, with properties calculated at the PBE-GGA level.

Cell lengths 6.4983, 6.4983, 6.4983 Å; angles 90.00, 90.00, 90.00 degrees
Closest atoms and distances in Å follow each position.
Positions (direct):
Hf1 0.0000 0.0000 0.0000  4 Ir 2.81, 4 Hf 2.81
Hf2 0.0000 0.5000 0.5000  4 Ir 2.81, 4 Hf 2.81
Hf3 0.2500 0.2500 0.2500  4 Hf 2.81, 4 Re 2.81
Hf4 0.2500 0.7500 0.7500  4 Hf 2.81, 4 Re 2.81
Hf5 0.5000 0.0000 0.5000  4 Ir 2.81, 4 Hf 2.81
Hf6 0.5000 0.5000 0.0000  4 Ir 2.81, 4 Hf 2.81
Hf7 0.7500 0.2500 0.7500  4 Hf 2.81, 4 Re 2.81
Hf8 0.7500 0.7500 0.2500  4 Hf 2.81, 4 Re 2.81
Re1 0.0000 0.0000 0.5000  4 Hf 2.81, 4 Ir 2.81
Re2 0.0000 0.5000 0.0000  4 Hf 2.81, 4 Ir 2.81
Re3 0.5000 0.0000 0.0000  4 Hf 2.81, 4 Ir 2.81
Re4 0.5000 0.5000 0.5000  4 Hf 2.81, 4 Ir 2.81
Ir1 0.2500 0.2500 0.7500  4 Hf 2.81, 4 Re 2.81
Ir2 0.2500 0.7500 0.2500  4 Hf 2.81, 4 Re 2.81
Ir3 0.7500 0.2500 0.2500  4 Hf 2.81, 4 Re 2.81
Ir4 0.7500 0.7500 0.7500  4 Hf 2.81, 4 Re 2.81

## Properties
Total moment = 0.00 μB/atom



Quick ranking, most stable first: run i, run ii.



Run i
Below is a geometry-optimized SrHfIr structure, with properties calculated at the PBE-GGA level.

Cell lengths 6.7535, 6.7535, 6.7535 Å; angles 90.00, 90.00, 90.00 degrees
Closest atoms and distances in Å follow each position.
Positions (direct):
Sr1 0.0000 0.0000 0.0000  4 Ir 2.92
Sr2 0.0000 0.5000 0.5000  4 Ir 2.92
Sr3 0.5000 0.0000 0.5000  4 Ir 2.92
Sr4 0.5000 0.5000 0.0000  4 Ir 2.92
Hf1 0.0000 0.0000 0.5000  4 Ir 2.92
Hf2 0.0000 0.5000 0.0000  4 Ir 2.92
Hf3 0.5000 0.0000 0.0000  4 Ir 2.92
Hf4 0.5000 0.5000 0.5000  4 Ir 2.92
Ir1 0.2500 0.2500 0.7500  4 Hf 2.92, 4 Sr 2.92
Ir2 0.2500 0.7500 0.2500  4 Hf 2.92, 4 Sr 2.92
Ir3 0.7500 0.2500 0.2500  4 Hf 2.92, 4 Sr 2.92
Ir4 0.7500 0.7500 0.7500  4 Hf 2.92, 4 Sr 2.92

## Properties
Total moment = 0.00 μB/atom



Run ii
Below is a geometry-optimized SrHfIr structure, with properties calculated at the PBE-GGA level.

Cell lengths 6.6638, 6.6638, 6.6638 Å; angles 90.00, 90.00, 90.00 degrees
Closest atoms and distances in Å follow each position.
Positions (direct):
Sr1 0.0000 0.0000 0.0000  4 Hf 2.89, 4 Ir 2.89
Sr2 0.0000 0.5000 0.5000  4 Hf 2.89, 4 Ir 2.89
Sr3 0.5000 0.0000 0.5000  4 Hf 2.89, 4 Ir 2.89
Sr4 0.5000 0.5000 0.0000  4 Hf 2.89, 4 Ir 2.89
Hf1 0.2500 0.2500 0.7500  4 Sr 2.89
Hf2 0.2500 0.7500 0.2500  4 Sr 2.89
Hf3 0.7500 0.2500 0.2500  4 Sr 2.89
Hf4 0.7500 0.7500 0.7500  4 Sr 2.89
Ir1 0.2500 0.2500 0.2500  4 Sr 2.89
Ir2 0.2500 0.7500 0.7500  4 Sr 2.89
Ir3 0.7500 0.2500 0.7500  4 Sr 2.89
Ir4 0.7500 0.7500 0.2500  4 Sr 2.89

## Properties
Total moment = 0.00 μB/atom



Quick ranking, most stable first: run i, run ii.



Run i
Below is a geometry-optimized HfThIr structure, with properties calculated at the PBE-GGA level.

Cell lengths 6.6509, 6.6509, 6.6509 Å; angles 90.00, 90.00, 90.00 degrees
Closest atoms and distances in Å follow each position.
Positions (direct):
Hf1 0.0000 0.0000 0.0000  4 Th 2.88
Hf2 0.0000 0.5000 0.5000  4 Th 2.88
Hf3 0.5000 0.0000 0.5000  4 Th 2.88
Hf4 0.5000 0.5000 0.0000  4 Th 2.88
Th1 0.2500 0.2500 0.2500  4 Ir 2.88, 4 Hf 2.88
Th2 0.2500 0.7500 0.7500  4 Hf 2.88, 4 Ir 2.88
Th3 0.7500 0.2500 0.7500  4 Hf 2.88, 4 Ir 2.88
Th4 0.7500 0.7500 0.2500  4 Hf 2.88, 4 Ir 2.88
Ir1 0.0000 0.0000 0.5000  4 Th 2.88
Ir2 0.0000 0.5000 0.0000  4 Th 2.88
Ir3 0.5000 0.0000 0.0000  4 Th 2.88
Ir4 0.5000 0.5000 0.5000  4 Th 2.88

## Properties
Total moment = 0.00 μB/atom



Run ii
Below is a geometry-optimized HfThIr structure, with properties calculated at the PBE-GGA level.

Cell lengths 6.7628, 6.7628, 6.7628 Å; angles 90.00, 90.00, 90.00 degrees
Closest atoms and distances in Å follow each position.
Positions (direct):
Hf1 0.0000 0.0000 0.0000  4 Ir 2.93
Hf2 0.0000 0.5000 0.5000  4 Ir 2.93
Hf3 0.5000 0.0000 0.5000  4 Ir 2.93
Hf4 0.5000 0.5000 0.0000  4 Ir 2.93
Th1 0.0000 0.0000 0.5000  4 Ir 2.93
Th2 0.0000 0.5000 0.0000  4 Ir 2.93
Th3 0.5000 0.0000 0.0000  4 Ir 2.93
Th4 0.5000 0.5000 0.5000  4 Ir 2.93
Ir1 0.2500 0.2500 0.7500  4 Hf 2.93, 4 Th 2.93
Ir2 0.2500 0.7500 0.2500  4 Hf 2.93, 4 Th 2.93
Ir3 0.7500 0.2500 0.2500  4 Hf 2.93, 4 Th 2.93
Ir4 0.7500 0.7500 0.7500  4 Hf 2.93, 4 Th 2.93

## Properties
Total moment = 0.01 μB/atom



Quick ranking, most stable first: run ii, run i.



Run i
Below is a geometry-optimized HfUIr structure, with properties calculated at the PBE-GGA level.

Cell lengths 6.4300, 6.4300, 6.4300 Å; angles 90.00, 90.00, 90.00 degrees
Closest atoms and distances in Å follow each position.
Positions (direct):
Hf1 0.0000 0.0000 0.0000  4 U 2.78
Hf2 0.0000 0.5000 0.5000  4 U 2.78
Hf3 0.5000 0.0000 0.5000  4 U 2.78
Hf4 0.5000 0.5000 0.0000  4 U 2.78
U1 0.2500 0.2500 0.2500  4 Hf 2.78, 4 Ir 2.78
U2 0.2500 0.7500 0.7500  4 Hf 2.78, 4 Ir 2.78
U3 0.7500 0.2500 0.7500  4 Hf 2.78, 4 Ir 2.78
U4 0.7500 0.7500 0.2500  4 Ir 2.78, 4 Hf 2.78
Ir1 0.0000 0.0000 0.5000  4 U 2.78
Ir2 0.0000 0.5000 0.0000  4 U 2.78
Ir3 0.5000 0.0000 0.0000  4 U 2.78
Ir4 0.5000 0.5000 0.5000  4 U 2.78

## Properties
Total moment = 0.43 μB/atom



Run ii
Below is a geometry-optimized HfUIr structure, with properties calculated at the PBE-GGA level.

Cell lengths 6.5329, 6.5329, 6.5329 Å; angles 90.00, 90.00, 90.00 degrees
Closest atoms and distances in Å follow each position.
Positions (direct):
Hf1 0.0000 0.0000 0.0000  4 Ir 2.83
Hf2 0.0000 0.5000 0.5000  4 Ir 2.83
Hf3 0.5000 0.0000 0.5000  4 Ir 2.83
Hf4 0.5000 0.5000 0.0000  4 Ir 2.83
U1 0.0000 0.0000 0.5000  4 Ir 2.83
U2 0.0000 0.5000 0.0000  4 Ir 2.83
U3 0.5000 0.0000 0.0000  4 Ir 2.83
U4 0.5000 0.5000 0.5000  4 Ir 2.83
Ir1 0.2500 0.2500 0.7500  4 Hf 2.83, 4 U 2.83
Ir2 0.2500 0.7500 0.2500  4 Hf 2.83, 4 U 2.83
Ir3 0.7500 0.2500 0.2500  4 Hf 2.83, 4 U 2.83
Ir4 0.7500 0.7500 0.7500  4 Hf 2.83, 4 U 2.83

## Properties
Total moment = 0.98 μB/atom



Quick ranking, most stable first: run ii, run i.